1.
Ba2DyYS5 | GGA-PBE | relaxed Values from VASP.

**N(E_F)**: 0.00 states/eV per atom
**Theoretical density**: 4.5 g/cm3
**Formation energy (no corrections)**: -18.67 eV/f.u.
**Spin magnetization**: 0.00 μB per cell
**Space group**: Cmc2_1, No. 36
**Uncorrected energy**: -6.024 eV per atom

Geometry as Quantum ESPRESSO input:
```
&SYSTEM
  ibrav = 0, nat = 18, ntyp = 4
/
ATOMIC_SPECIES
S 32.06 S.upf
Ba 137.33 Ba.upf
Y 88.91 Y.upf
Dy 162.50 Dy.upf
ATOMIC_POSITIONS crystal
S 0.9395 0.8789 0.5602
S 0.3164 0.6328 0.3893
S 0.3732 0.7464 0.9964
S 0.6268 0.2536 0.4964
S 0.5085 0.0171 0.2730
S 0.4915 0.9829 0.7730
S 0.6836 0.3672 0.8893
S 0.7218 0.4436 0.1503
S 0.2782 0.5564 0.6503
S 0.0605 0.1211 0.0602
Ba 0.8574 0.7149 0.7976
Ba 0.8966 0.7932 0.1824
Ba 0.1426 0.2851 0.2976
Ba 0.1034 0.2068 0.6824
Y 0.4687 0.9375 0.4567
Y 0.5313 0.0625 0.9567
Dy 0.7826 0.5653 0.5180
Dy 0.2174 0.4347 0.0180
CELL_PARAMETERS angstrom
4.2766 0.0000 0.0000
-2.1383 8.6875 0.0000
0.0000 0.0000 13.6042
```

2.
Ba2DyYS4 | GGA-PBE | relaxed Values from VASP.

**N(E_F)**: 0.46 states/eV per atom
**Theoretical density**: 5.2 g/cm3
**Formation energy (no corrections)**: -16.09 eV/f.u.
**Spin magnetization**: 0.00 μB per cell
**Space group**: P2/m, No. 10
**Uncorrected energy**: -5.939 eV per atom

Geometry as Quantum ESPRESSO input:
```
&SYSTEM
  ibrav = 0, nat = 8, ntyp = 4
/
ATOMIC_SPECIES
S 32.06 S.upf
Dy 162.50 Dy.upf
Ba 137.33 Ba.upf
Y 88.91 Y.upf
ATOMIC_POSITIONS crystal
S 0.5000 0.2372 0.2092
S 0.5000 0.7628 0.7908
S 0.0000 0.2642 0.7912
S 0.0000 0.7358 0.2088
Dy 0.5000 0.5000 0.0000
Ba 0.5000 0.0000 0.5000
Ba 0.0000 0.5000 0.5000
Y 0.0000 0.0000 0.0000
CELL_PARAMETERS angstrom
-2.5268 2.1042 -2.4912
-5.5326 -1.7550 4.1292
2.9027 6.4664 2.5178
```

3.
Ba2DyZrS6 | GGA-PBE | relaxed Values from VASP.

**N(E_F)**: 0.65 states/eV per atom
**Theoretical density**: 4.3 g/cm3
**Formation energy (no corrections)**: -17.36 eV/f.u.
**Spin magnetization**: 0.00 μB per cell
**Space group**: Pmmn, No. 59
**Uncorrected energy**: -5.912 eV per atom

Geometry as Quantum ESPRESSO input:
```
&SYSTEM
  ibrav = 0, nat = 20, ntyp = 4
/
ATOMIC_SPECIES
S 32.06 S.upf
Dy 162.50 Dy.upf
Zr 91.22 Zr.upf
Ba 137.33 Ba.upf
ATOMIC_POSITIONS crystal
S 0.5000 0.2473 0.2444
S 0.0000 0.7527 0.2556
S 0.7449 0.0061 0.0000
S 0.0000 0.7527 0.7444
S 0.2441 0.5053 0.5000
S 0.2551 0.0061 0.0000
S 0.2559 0.4947 0.0000
S 0.7441 0.4947 0.0000
S 0.7559 0.5053 0.5000
S 0.2449 0.9939 0.5000
S 0.7551 0.9939 0.5000
S 0.5000 0.2473 0.7556
Dy 0.5000 0.2503 0.5000
Dy 0.0000 0.7497 0.0000
Zr 0.5000 0.2503 0.0000
Zr 0.0000 0.7497 0.5000
Ba 0.0000 0.2468 0.2491
Ba 0.5000 0.7532 0.2509
Ba 0.0000 0.2468 0.7509
Ba 0.5000 0.7532 0.7491
CELL_PARAMETERS angstrom
-3.2428 4.7442 -4.5007
-3.6586 -5.4834 -3.1440
-7.6671 1.2143 6.8043
```

Which value of N(E_F) does entry 3 give? 0.65 states/eV per atom

What is the spin magnetization in the first record? 0.00 μB per cell

What did the third record say?
Ba2DyZrS6 | GGA-PBE | relaxed Values from VASP.

**N(E_F)**: 0.65 states/eV per atom
**Theoretical density**: 4.3 g/cm3
**Formation energy (no corrections)**: -17.36 eV/f.u.
**Spin magnetization**: 0.00 μB per cell
**Space group**: Pmmn, No. 59
**Uncorrected energy**: -5.912 eV per atom

Geometry as Quantum ESPRESSO input:
```
&SYSTEM
  ibrav = 0, nat = 20, ntyp = 4
/
ATOMIC_SPECIES
S 32.06 S.upf
Dy 162.50 Dy.upf
Zr 91.22 Zr.upf
Ba 137.33 Ba.upf
ATOMIC_POSITIONS crystal
S 0.5000 0.2473 0.2444
S 0.0000 0.7527 0.2556
S 0.7449 0.0061 0.0000
S 0.0000 0.7527 0.7444
S 0.2441 0.5053 0.5000
S 0.2551 0.0061 0.0000
S 0.2559 0.4947 0.0000
S 0.7441 0.4947 0.0000
S 0.7559 0.5053 0.5000
S 0.2449 0.9939 0.5000
S 0.7551 0.9939 0.5000
S 0.5000 0.2473 0.7556
Dy 0.5000 0.2503 0.5000
Dy 0.0000 0.7497 0.0000
Zr 0.5000 0.2503 0.0000
Zr 0.0000 0.7497 0.5000
Ba 0.0000 0.2468 0.2491
Ba 0.5000 0.7532 0.2509
Ba 0.0000 0.2468 0.7509
Ba 0.5000 0.7532 0.7491
CELL_PARAMETERS angstrom
-3.2428 4.7442 -4.5007
-3.6586 -5.4834 -3.1440
-7.6671 1.2143 6.8043
```